No. 1
The following is a DFT calculation (SCAN) of Si7SnN10 at its PBEsol-relaxed geometry.

Cell lengths 6.803, 6.803, 9.702 Å; angles 106.28, 90.00, 90.00 degrees
Element x y z (fractional)
Si 0.024 0.464 0.176
Si 0.976 0.464 0.676
Si 0.975 0.647 0.983
Si 0.025 0.647 0.483
Si 0.597 0.889 0.925
Si 0.403 0.889 0.425
Si 0.637 0.336 0.007
Si 0.363 0.336 0.507
Si 0.379 0.154 0.190
Si 0.621 0.154 0.690
Si 0.382 0.703 0.116
Si 0.618 0.703 0.616
Si 0.632 0.514 0.312
Si 0.368 0.514 0.812
Sn 0.002 0.013 0.331
Sn 0.998 0.013 0.831
N 0.163 0.265 0.179
N 0.837 0.265 0.679
N 0.866 0.442 0.029
N 0.134 0.442 0.529
N 0.129 0.690 0.138
N 0.871 0.690 0.638
N 0.833 0.841 0.966
N 0.167 0.841 0.466
N 0.498 0.710 0.274
N 0.502 0.710 0.774
N 0.881 0.562 0.330
N 0.119 0.562 0.830
N 0.629 0.111 0.865
N 0.371 0.111 0.365
N 0.425 0.921 0.063
N 0.575 0.921 0.563
N 0.587 0.296 0.173
N 0.413 0.296 0.673
N 0.460 0.500 0.975
N 0.540 0.500 0.475

## Properties
As for the symmetry: Pc. The density of states at the Fermi level comes out at 0.0 states/eV/f.u. Its volume is 431 Å³/cell. The calculation puts the raw total energy at -12.163 eV/atom. As for the formation energy (no corrections): -1111 meV per atom.

=====

No. 2
The following is a DFT calculation (SCAN) of LiHgAu2 at its PBEsol-relaxed geometry.

Cell lengths 4.109, 4.109, 4.961 Å; angles 114.46, 114.46, 90.00 degrees
Element x y z (fractional)
Au 0.000 0.000 0.000
Au 0.250 0.750 0.500
Hg 0.500 0.500 0.000
Li 0.750 0.250 0.500

## Properties
As for the symmetry: I-4m2. As for the formation energy: -342 meV per atom. The density of states at the Fermi level comes out at 0.8 states/eV/f.u. Its volume is 68 Å³/cell. The calculation puts the raw total energy at -52.560 eV/atom.

=====

No. 3
The following is a DFT calculation (SCAN) of LiBiPIr2 at its PBEsol-relaxed geometry.

Cell lengths 4.323, 4.323, 4.382 Å; angles 90.00, 90.00, 90.00 degrees
Element x y z (fractional)
P 0.500 0.500 0.500
Ir 0.000 0.500 0.000
Ir 0.500 0.000 0.000
Bi 0.000 0.000 0.500
Li 0.000 0.000 0.000

## Properties
As for the symmetry: P4/mmm. As for the formation energy: 1231 meV per atom. The density of states at the Fermi level comes out at 2.6 states/eV/f.u. Its volume is 82 Å³/cell. The calculation puts the raw total energy at -45.482 eV/atom.

=====

No. 4
The following is a DFT calculation (SCAN) of BaHg2Pt at its PBEsol-relaxed geometry.

Cell lengths 4.789, 4.776, 6.118 Å; angles 66.99, 66.96, 59.91 degrees
Element x y z (fractional)
Hg 0.035 0.036 0.894
Hg 0.783 0.783 0.652
Pt 0.440 0.441 0.680
Ba 0.243 0.241 0.274

## Properties
As for the symmetry: Cm. As for the formation energy: -532 meV per atom. The density of states at the Fermi level comes out at 1.7 states/eV/f.u. Its volume is 108 Å³/cell. The calculation puts the raw total energy at -62.051 eV/atom.

=====

No. 5
The following is a DFT calculation (SCAN) of ZnMoIN2 at its PBEsol-relaxed geometry.

Cell lengths 3.904, 3.904, 5.702 Å; angles 90.00, 90.00, 90.00 degrees
Last column: magnetic moment on the atom in μB.
Element x y z (fractional)
I 0.000 0.000 0.500  0.00
Mo 0.000 0.000 0.000  -1.24
Zn 0.500 0.500 0.500  -0.01
N 0.000 0.500 0.000  0.49
N 0.500 0.000 0.000  0.49

## Properties
As for the symmetry: P4/mmm. The density of states at the Fermi level comes out at 1.5 states/eV/f.u. Its volume is 87 Å³/cell. The calculation puts the raw total energy at -20.174 eV/atom. As for the formation energy (no corrections): 571 meV per atom.

=====

No. 6
The following is a DFT calculation (SCAN) of KTa2O6 at its PBEsol-relaxed geometry.

Cell lengths 7.474, 7.474, 7.474 Å; angles 89.45, 60.03, 119.39 degrees
Last column: magnetic moment on the atom in μB.
Element x y z (fractional)
K 0.000 0.000 0.000  0.00
K 0.500 0.500 0.000  0.00
Ta 0.000 0.500 0.500  -0.08
Ta 0.500 0.000 0.500  -0.08
Ta 0.000 0.500 0.000  -0.05
Ta 0.500 0.500 0.500  -0.05
O 0.250 0.437 0.813  0.06
O 0.250 0.808 0.442  0.29
O 0.621 0.810 0.436  0.16
O 0.879 0.443 0.811  0.16
O 0.254 0.443 0.436  0.16
O 0.246 0.810 0.811  0.16
O 0.750 0.563 0.187  0.06
O 0.750 0.192 0.558  0.29
O 0.379 0.190 0.564  0.16
O 0.121 0.557 0.189  0.16
O 0.746 0.557 0.564  0.16
O 0.754 0.190 0.189  0.16

## Properties
As for the symmetry: Imma. The density of states at the Fermi level comes out at 4.8 states/eV/f.u. Its volume is 297 Å³/cell. The calculation puts the raw total energy at -22.523 eV/atom. As for the formation energy (no corrections): -2647 meV per atom.

=====

No. 7
The following is a DFT calculation (SCAN) of FeSnRu2C at its PBEsol-relaxed geometry.

Cell lengths 4.292, 4.292, 4.650 Å; angles 90.00, 90.00, 90.00 degrees
Last column: magnetic moment on the atom in μB.
Element x y z (fractional)
Ru 0.000 0.500 0.000  0.50
Ru 0.500 0.000 0.000  0.50
C 0.500 0.500 0.500  -0.35
Sn 0.000 0.000 0.500  0.02
Fe 0.000 0.000 0.000  -0.07

## Properties
As for the symmetry: P4/mmm. As for the formation energy: 2351 meV per atom. The density of states at the Fermi level comes out at 4.6 states/eV/f.u. Its volume is 86 Å³/cell. The calculation puts the raw total energy at -24.410 eV/atom.

=====

No. 8
The following is a DFT calculation (SCAN) of TcRuSe at its PBEsol-relaxed geometry.

Cell lengths 4.118, 4.118, 4.118 Å; angles 60.00, 60.00, 60.00 degrees
Element x y z (fractional)
Ru 0.000 0.000 0.000
Se 0.500 0.500 0.500
Tc 0.250 0.250 0.250

## Properties
As for the symmetry: F-43m. The density of states at the Fermi level comes out at 3.2 states/eV/f.u. Its volume is 49 Å³/cell. The calculation puts the raw total energy at -29.704 eV/atom. As for the formation energy (no corrections): 284 meV per atom. The calculation puts the energy above the lowest structure with this stoichiometry at 77 meV/atom.

=====

No. 9
The following is a DFT calculation (SCAN) of KTl8 at its PBEsol-relaxed geometry.

Cell lengths 4.919, 7.639, 7.639 Å; angles 84.05, 71.22, 71.22 degrees
Element x y z (fractional)
K 0.000 0.000 0.000
Tl 0.327 0.000 0.346
Tl 0.673 0.000 0.654
Tl 0.658 0.342 0.342
Tl 0.327 0.346 0.000
Tl 0.000 0.342 0.658
Tl 0.673 0.654 0.000
Tl 0.342 0.658 0.658
Tl 0.000 0.658 0.342

## Properties
As for the symmetry: I4/mmm. As for the formation energy: -64 meV per atom. The density of states at the Fermi level comes out at 3.4 states/eV/f.u. Its volume is 257 Å³/cell. The calculation puts the raw total energy at -65.308 eV/atom.

=====

No. 10
The following is a DFT calculation (SCAN) of NiMo2Ru at its PBEsol-relaxed geometry.

Cell lengths 2.720, 4.289, 4.657 Å; angles 90.00, 89.98, 90.00 degrees
Element x y z (fractional)
Ru 0.375 0.500 0.791
Mo 0.875 0.000 0.954
Mo 0.875 0.500 0.306
Ni 0.375 0.000 0.449

## Properties
As for the symmetry: Pmm2. As for the formation energy: 63 meV per atom. The density of states at the Fermi level comes out at 4.0 states/eV/f.u. Its volume is 54 Å³/cell. The calculation puts the raw total energy at -30.129 eV/atom.

=====

No. 11
The following is a DFT calculation (SCAN) of Eu2PdAu at its PBEsol-relaxed geometry.

Cell lengths 5.085, 5.085, 5.085 Å; angles 60.00, 60.00, 60.00 degrees
Last column: magnetic moment on the atom in μB.
Element x y z (fractional)
Eu 0.750 0.750 0.750  6.91
Eu 0.250 0.250 0.250  6.91
Au 0.000 0.000 0.000  0.01
Pd 0.500 0.500 0.500  -0.05

## Properties
As for the symmetry: Fm-3m. As for the formation energy: -833 meV per atom. The density of states at the Fermi level comes out at 13.1 states/eV/f.u. Its volume is 93 Å³/cell. The calculation puts the raw total energy at -53.172 eV/atom.

=====

Which value of raw total energy does entry 11 give?
-53.172 eV/atom